Compound: Sr3TeW
Source: Alexandria
Functional: GGA-PBE
Structure: relaxed

## Properties
Total energy, eV/atom: -3.659
ΔE to the lowest computed polymorph, meV/atom: 0
Formation energy from raw total energies, meV/atom: 569
SG: Pm-3m (221)

Lattice parameters (Å, degrees): 5.7107 5.7107 5.7107 90.00 90.00 90.00
Closest atoms and distances in Å follow each position.
Atoms (fractional coordinates):
Sr 0.0000 0.5000 0.0000  2 W 2.86
Sr 0.5000 0.0000 0.0000  2 W 2.86
W 0.0000 0.0000 0.0000  6 Sr 2.86
Te 0.5000 0.5000 0.5000  12 Sr 4.04
Sr 0.0000 0.0000 0.5000  2 W 2.86

=====

Compound: AcPm4Nd6
Source: Alexandria
Functional: GGA-PBE
Structure: relaxed

## Properties
Energy relative to the elements, meV/atom: 303
Total energy, eV/atom: -4.398
ΔE to the lowest computed polymorph, meV/atom: 0
SG: I-42m (121)

Lattice parameters (Å, degrees): 10.1160 10.1160 10.1160 56.13 141.14 141.14
Closest atoms and distances in Å follow each position.
Atoms (fractional coordinates):
Ac 0.0000 0.0000 0.0000  4 Nd 3.37, 4 Pm 3.71
Nd 0.0000 0.4494 0.8091  3 Nd 3.38-3.42, 5 Pm 3.38-3.66
Nd 0.0000 0.8091 0.4494  3 Nd 3.38-3.42, 5 Pm 3.38-3.66
Pm 0.6196 0.9912 0.9912  5 Nd 3.38-3.66, 1 Pm 3.62, 1 Ac 3.71
Pm 0.3804 0.3716 0.3716  5 Nd 3.38-3.66, 1 Pm 3.62, 1 Ac 3.71
Pm 0.0000 0.6284 0.0088  5 Nd 3.38-3.66, 1 Pm 3.62, 1 Ac 3.71
Nd 0.5000 0.5000 0.0000  2 Ac 3.37, 4 Nd 3.38
Nd 0.5000 0.0000 0.5000  2 Ac 3.37, 4 Nd 3.38
Nd 0.3597 0.5506 0.5506  3 Nd 3.38-3.42, 5 Pm 3.38-3.66
Nd 0.6403 0.1909 0.1909  3 Nd 3.38-3.42, 5 Pm 3.38-3.66
Pm 0.0000 0.0088 0.6284  5 Nd 3.38-3.66, 1 Pm 3.62, 1 Ac 3.71

=====

Compound: Si2AsSe
Source: Alexandria
Functional: GGA-PBE
Structure: relaxed

## Properties
Total energy, eV/atom: -4.204
ΔE to the lowest computed polymorph, meV/atom: 556
Formation energy from raw total energies, meV/atom: 541
SG: Cmmm (65)

Lattice parameters (Å, degrees): 2.7401 2.7401 10.0588 90.00 90.00 104.72
Closest atoms and distances in Å follow each position.
Atoms (fractional coordinates):
Si 0.0000 0.0000 0.4792  4 Si 2.74, 2 As 2.85
As 0.5000 0.5000 0.2500  4 As 2.74, 4 Si 2.85
Se 0.5000 0.5000 0.7500  4 Se 2.74
Si 0.0000 0.0000 0.0208  4 Si 2.74, 2 As 2.85

=====

Compound: Th3Al9Rh2
Source: Alexandria
Functional: GGA-PBE
Structure: relaxed

## Properties
Energy relative to the elements, meV/atom: -623
Total energy, eV/atom: -5.669
SG: Immm (71)

Lattice parameters (Å, degrees): 4.3713 8.3249 8.3249 74.39 74.78 74.78
Closest atoms and distances in Å follow each position.
Atoms (fractional coordinates):
Rh 0.5000 0.7109 0.2891  6 Al 2.55-2.67
Th 0.3152 0.6848 0.6848  2 Rh 3.14, 10 Al 3.18-3.22
Al 0.3380 0.0256 0.2984  1 Rh 2.55, 4 Al 2.67-2.84
Al 0.6620 0.9744 0.7016  1 Rh 2.55, 4 Al 2.67-2.84
Al 0.6620 0.7016 0.9744  1 Rh 2.55, 4 Al 2.67-2.84
Al 0.8782 0.4018 0.8418  2 Rh 2.67, 4 Al 2.67-2.84
Al 0.1218 0.1582 0.5982  2 Rh 2.67, 4 Al 2.67-2.84
Th 0.0000 0.0000 0.0000  12 Al 3.20-3.28
Th 0.6848 0.3152 0.3152  2 Rh 3.14, 10 Al 3.18-3.22
Al 0.1218 0.5982 0.1582  2 Rh 2.67, 4 Al 2.67-2.84
Al 0.8782 0.8418 0.4018  2 Rh 2.67, 4 Al 2.67-2.84
Al 0.3380 0.2984 0.0256  1 Rh 2.55, 4 Al 2.67-2.84
Al 0.0000 0.5000 0.5000  4 Al 2.69
Rh 0.5000 0.2891 0.7109  6 Al 2.55-2.67

=====

Compound: LaNiMo2
Source: Alexandria
Functional: GGA-PBE
Structure: relaxed

## Properties
Energy relative to the elements, meV/atom: 370
Total energy, eV/atom: -7.723
ΔE to the lowest computed polymorph, meV/atom: 153
SG: Cmm2 (35)

Lattice parameters (Å, degrees): 2.9376 2.9376 8.8552 90.00 90.00 110.23
Closest atoms and distances in Å follow each position.
Atoms (fractional coordinates):
Mo 0.5000 0.5000 0.2603  2 Ni 2.48, 2 Mo 2.59
La 0.5000 0.5000 0.7353  2 Ni 2.91, 4 La 2.94, 2 Mo 3.16
Ni 0.0000 0.0000 0.4663  2 Mo 2.48
Mo 0.0000 0.0000 0.0381  2 Mo 2.59

=====

Compound: Mg2NiPt
Source: Alexandria
Functional: GGA-PBE
Structure: relaxed

## Properties
Energy relative to the elements, meV/atom: 207
Total energy, eV/atom: -3.545
SG: Immm (71)

Lattice parameters (Å, degrees): 5.7270 5.7270 5.7270 57.84 151.50 130.81
Closest atoms and distances in Å follow each position.
Atoms (fractional coordinates):
Pt 0.0000 0.5000 0.5000  2 Mg 2.59, 4 Ni 2.77, 2 Pt 2.82
Mg 0.0000 0.2420 0.2420  1 Ni 2.43, 1 Pt 2.59
Ni 0.0000 0.0000 0.0000  2 Mg 2.43
Mg 0.0000 0.7580 0.7580  1 Ni 2.43, 1 Pt 2.59